(1)
K2InBiF, optimized geometry, DFT PBE-GGA; SG = P4/mmm (123); crystal system = tetragonal; uncorrected formation energy = -1.08 eV/atom; total magnetic moment = 0.000 Bohr magnetons per cell; calculated volume = 147 Å³/cell
1.0
-3.7333 -2.9894 -1.4457
1.7724 -3.6335 2.9361
-3.3183 1.9865 4.4614
Bi F K In
1 1 2 1
direct
0.5000 0.5000 0.5000
0.0000 0.0000 0.0000
0.0000 0.5000 0.0000
0.5000 0.0000 0.0000
0.0000 0.0000 0.5000

---

(2)
Mg3H2Ir3, optimized geometry, DFT PBE-GGA; SG = Pm (6); crystal system = monoclinic; total magnetic moment = 0.000 Bohr magnetons per cell; calculated volume = 98 Å³/cell; uncorrected energy = -5.025 eV per atom
1.0
3.1749 0.0000 0.0000
-0.0001 4.2635 1.4942
0.0000 -0.0006 7.2427
Mg H Ir
3 2 3
direct
0.9821 0.2950 0.4674
0.9821 0.6625 0.8350
0.9821 0.9852 0.1326
0.4821 0.9763 0.6479
0.9821 0.6760 0.5481
0.4821 0.4757 0.1475
0.4821 0.1789 0.8140
0.4821 0.7972 0.4633

---

(3)
TmScAu2, optimized geometry, DFT PBE-GGA; SG = Fm-3m (225); crystal system = cubic; energy of formation from the pure elements = -0.832 eV/atom; total magnetic moment = 0.000 Bohr magnetons per cell; calculated volume = 85 Å³/cell
1.0
4.9281 0.0000 0.0000
2.4640 4.2678 0.0000
2.4640 1.4226 4.0237
Tm Au Sc
1 2 1
direct
0.0000 0.0000 0.0000
0.2500 0.2500 0.2500
0.7500 0.7500 0.7500
0.5000 0.5000 0.5000

---

(4)
Sc2HgCl, optimized geometry, DFT PBE-GGA; SG = P-1 (2); crystal system = triclinic; uncorrected formation energy = -0.72 eV/atom; total magnetic moment = 0.000 Bohr magnetons per cell; calculated volume = 174 Å³/cell
1.0
-1.3052 -1.4882 -5.3065
-2.3405 -4.6471 2.7971
-3.2013 4.7301 2.2762
Sc Hg Cl
4 2 2
direct
0.9006 0.5858 0.2370
0.0994 0.4142 0.7630
0.6969 0.8682 0.7286
0.3031 0.1318 0.2714
0.7916 0.0757 0.2509
0.2084 0.9243 0.7491
0.3840 0.5682 0.2460
0.6160 0.4318 0.7540

---

(5)
KCu2I3, optimized geometry, DFT PBE-GGA; SG = C2/m (12); crystal system = monoclinic; uncorrected formation energy = -0.54 eV/atom; total magnetic moment = 0.000 Bohr magnetons per cell; calculated volume = 408 Å³/cell
1.0
4.4002 0.0000 0.0000
0.0000 7.5265 -1.2030
-2.2001 -3.5174 12.8903
Cu I K
4 6 2
direct
0.7153 0.3961 0.4306
0.0523 0.1362 0.1045
0.2847 0.6039 0.5694
0.9477 0.8638 0.8955
0.3903 0.6807 0.7805
0.6097 0.3193 0.2195
0.2344 0.2224 0.4689
0.7656 0.7776 0.5311
0.9662 0.2237 0.9323
0.0338 0.7763 0.0677
0.3648 0.1610 0.7297
0.6352 0.8390 0.2703

---

(6)
V3TePb, optimized geometry, DFT PBE-GGA; SG = Pm-3m (221); crystal system = cubic; uncorrected formation energy = 1.03 eV/atom; total magnetic moment = 8.776 Bohr magnetons per cell; calculated volume = 129 Å³/cell
1.0
5.0590 0.0000 0.0000
0.0000 5.0590 0.0000
0.0000 0.0000 5.0590
V Pb Te
3 1 1
direct
0.0000 0.0000 0.5000
0.5000 0.0000 0.0000
0.0000 0.5000 0.0000
0.5000 0.5000 0.5000
0.0000 0.0000 0.0000

---

(7)
Ba2TaOs, optimized geometry, DFT PBE-GGA; SG = I-4m2 (119); crystal system = tetragonal; energy of formation from the pure elements = 1.321 eV/atom; total magnetic moment = 1.095 Bohr magnetons per cell; calculated volume = 104 Å³/cell
1.0
5.2703 0.1661 0.0000
-0.1900 5.2695 0.0000
-2.5402 -2.7178 3.7370
Ta Ba Os
1 2 1
direct
0.7500 0.2500 0.5000
0.0000 0.0000 0.0000
0.2500 0.7500 0.5000
0.5000 0.5000 0.0000

---

(8)
PuSi2Tc, optimized geometry, DFT PBE-GGA; SG = R-3m (166); crystal system = trigonal; uncorrected formation energy = -0.39 eV/atom; total magnetic moment = 4.965 Bohr magnetons per cell; calculated volume = 71 Å³/cell
1.0
4.1522 0.0000 0.0000
2.0761 3.5960 0.0000
2.0761 1.1987 4.7675
Si Pu Tc
2 1 1
direct
0.7135 0.7135 0.8594
0.2865 0.2865 0.1406
0.5000 0.5000 0.5000
0.0000 0.0000 0.0000

---

(9)
CaPmP2, optimized geometry, DFT PBE-GGA; SG = P4/mmm (123); crystal system = tetragonal; energy of formation from the pure elements = -0.933 eV/atom; total magnetic moment = 0.000 Bohr magnetons per cell; calculated volume = 87 Å³/cell
1.0
3.1528 0.0000 0.0000
0.0000 5.2668 0.0000
0.0000 0.0000 5.2668
Pm Ca P
1 1 2
direct
0.5000 0.0000 0.0000
0.5000 0.5000 0.5000
0.0000 0.5000 0.0000
0.0000 0.0000 0.5000

---

(10)
LiIn2TeO6, optimized geometry, DFT PBE-GGA; SG = R3 (146); crystal system = trigonal; uncorrected formation energy = -1.39 eV/atom; total magnetic moment = 0.401 Bohr magnetons per cell; calculated volume = 130 Å³/cell
1.0
-0.0989 5.5257 0.0004
-0.8925 2.7486 -4.7110
-5.1846 2.6707 -0.7014
O In Te Li
6 2 1 1
direct
0.6964 0.1303 0.7631
0.9376 0.6008 0.2353
0.1302 0.4102 0.7631
0.6008 0.2263 0.2354
0.2263 0.9375 0.2353
0.4102 0.6964 0.7631
0.5276 0.5276 0.4173
0.0193 0.0193 0.9420
0.3207 0.3207 0.0379
0.7924 0.7924 0.6226

---

(11)
Tb4Nd5Tl, optimized geometry, DFT PBE-GGA; SG = P4/mmm (123); crystal system = tetragonal; energy of formation from the pure elements = 0.017 eV/atom; total magnetic moment = 0.001 Bohr magnetons per cell; calculated volume = 327 Å³/cell
1.0
4.2225 0.0000 0.0000
0.0000 4.2225 0.0000
0.0000 0.0000 18.3433
Tb Tl Nd
4 1 5
direct
0.0000 0.0000 0.1951
0.0000 0.0000 0.6021
0.0000 0.0000 0.3979
0.0000 0.0000 0.8049
0.0000 0.0000 0.0000
0.5000 0.5000 0.7040
0.5000 0.5000 0.2960
0.5000 0.5000 0.5000
0.5000 0.5000 0.0904
0.5000 0.5000 0.9096

---

(12)
ThAlIn, optimized geometry, DFT PBE-GGA; SG = Imma (74); crystal system = orthorhombic; energy of formation from the pure elements = -0.327 eV/atom; total magnetic moment = 0.000 Bohr magnetons per cell; calculated volume = 153 Å³/cell
1.0
-1.1638 -4.2871 -1.2128
4.4751 -2.7501 -3.3148
2.0517 -4.1900 4.1003
Al In Th
2 2 2
direct
0.2500 0.4295 0.5705
0.7500 0.5705 0.4295
0.7500 0.9043 0.0957
0.2500 0.0957 0.9043
0.5000 0.5000 0.0000
0.0000 0.0000 0.5000

---

(13)
BaLi2GaPt2, optimized geometry, DFT PBE-GGA; SG = P4/mmm (123); crystal system = tetragonal; energy of formation from the pure elements = -0.416 eV/atom; total magnetic moment = 0.000 Bohr magnetons per cell; calculated volume = 148 Å³/cell
1.0
-3.6126 -2.3978 -2.1576
-0.9892 -2.2599 4.1677
-3.9976 4.6217 1.5573
Li Pt Ga Ba
2 2 1 1
direct
0.5000 0.5000 0.8079
0.5000 0.5000 0.1921
0.0000 0.5000 0.0000
0.5000 0.0000 0.0000
0.0000 0.0000 0.0000
0.0000 0.0000 0.5000

---

(14)
Zr2TaCo, optimized geometry, DFT PBE-GGA; SG = C2/m (12); crystal system = monoclinic; energy of formation from the pure elements = 0.173 eV/atom; total magnetic moment = 0.001 Bohr magnetons per cell; calculated volume = 73 Å³/cell
1.0
-2.9297 -4.6015 -0.2438
2.0305 1.3698 4.7369
-2.4977 0.8598 1.4696
Ta Co Zr
1 1 2
direct
0.5000 0.5000 0.0000
0.0000 0.5000 0.5000
0.0000 0.0000 0.0000
0.5000 0.0000 0.5000

---

(15)
Sr4Ni3, optimized geometry, DFT PBE-GGA; SG = P6/mmm (191); crystal system = hexagonal; energy of formation from the pure elements = 0.447 eV/atom; total magnetic moment = 0.000 Bohr magnetons per cell; calculated volume = 187 Å³/cell
1.0
2.8578 -4.9499 0.0000
2.8578 4.9499 0.0000
0.0000 0.0000 6.6258
Ni Sr
3 4
direct
0.5000 0.0000 0.0000
0.0000 0.5000 0.0000
0.5000 0.5000 0.0000
0.0000 0.0000 0.2214
0.0000 0.0000 0.7786
0.6667 0.3333 0.5000
0.3333 0.6667 0.5000

---

(16)
AcLu2Sn, optimized geometry, DFT PBE-GGA; SG = P4/mmm (123); crystal system = tetragonal; energy of formation from the pure elements = -0.256 eV/atom; total magnetic moment = 0.000 Bohr magnetons per cell; calculated volume = 125 Å³/cell
1.0
3.8042 0.0000 0.0000
0.0000 3.8042 0.0000
0.0000 0.0000 8.6181
Lu Ac Sn
2 1 1
direct
0.0000 0.0000 0.2017
0.0000 0.0000 0.7983
0.5000 0.5000 0.5000
0.5000 0.5000 0.0000

---

(17)
Ba2Ag2H6Pb, optimized geometry, DFT PBE-GGA; SG = C2/m (12); crystal system = monoclinic; total magnetic moment = 0.000 Bohr magnetons per cell; calculated volume = 195 Å³/cell; uncorrected energy = -3.201 eV per atom
1.0
5.1933 0.0000 0.0000
-2.5966 6.0697 0.0020
0.0000 -3.5030 6.1736
H Ba Ag Pb
6 2 2 1
direct
0.3667 0.2185 0.8445
0.1482 0.7815 0.1555
0.8312 0.6623 0.6826
0.6333 0.7815 0.1555
0.1688 0.3377 0.3174
0.8518 0.2185 0.8445
0.2849 0.5698 0.7713
0.7151 0.4302 0.2287
0.0043 0.0086 0.2191
0.9957 0.9914 0.7809
0.5000 0.0000 0.5000

---

(18)
Ni2OsCl, optimized geometry, DFT PBE-GGA; SG = Imm2 (44); crystal system = orthorhombic; uncorrected formation energy = 0.55 eV/atom; total magnetic moment = 0.149 Bohr magnetons per cell; calculated volume = 63 Å³/cell
1.0
-3.9589 -4.6131 -2.0574
0.5896 -6.0078 -2.1783
0.7183 4.7764 4.2257
Os Cl Ni
1 1 2
direct
0.4841 0.4841 0.0000
0.3099 0.8099 0.5000
0.0449 0.0449 0.0000
0.6610 0.1610 0.5000

---

(19)
CrGa3Co2Se8, optimized geometry, DFT PBE-GGA; SG = Cm (8); crystal system = monoclinic; uncorrected formation energy = -0.30 eV/atom; total magnetic moment = 3.668 Bohr magnetons per cell; calculated volume = 333 Å³/cell
1.0
5.7850 -8.1942 -8.8587
6.9754 -9.9133 -5.6708
-5.1376 -4.1515 -0.3203
Se Co Ga Cr
8 2 3 1
direct
0.9479 0.9479 0.3501
0.8146 0.8146 0.0578
0.0569 0.0569 0.6442
0.6727 0.6727 0.4418
0.4486 0.4486 0.8527
0.1708 0.1708 0.9435
0.3151 0.3151 0.5633
0.5556 0.5556 0.1488
0.6433 0.6433 0.1215
0.1446 0.1446 0.6181
0.0042 0.0042 0.9931
0.8545 0.8545 0.3788
0.5028 0.5028 0.5032
0.3564 0.3564 0.8871